First-principles (PBE) data for crystalline Ca2CdMo at its relaxed geometry, as listed in Alexandria.

Energy of formation from the pure elements = 0.521 eV per atom
Space-group type = No. 65

Lattice parameters (Å, degrees): 5.7696 5.7696 3.1136 89.98 89.98 110.50
Closest atoms and distances in Å follow each position.
Fractional coordinates of all 4 atoms:
Mo: 0.0000 0.5000 0.5000  2 Mo 3.11, 8 Ca 3.28, 2 Cd 3.29
Ca: 0.0000 0.0000 0.0000  4 Ca 3.11-3.29, 4 Cd 3.28, 4 Mo 3.28
Cd: 0.5000 0.0000 0.5000  2 Cd 3.11, 8 Ca 3.28, 2 Mo 3.29
Ca: 0.5000 0.5000 0.0000  4 Ca 3.11-3.29, 4 Mo 3.28, 4 Cd 3.28

=====

First-principles (PBE) data for crystalline Ac3ErCl at its relaxed geometry, as listed in Alexandria.

Space-group type = No. 221
Energy relative to the elements, uncorrected = -441 meV/atom

Lattice parameters (Å, degrees): 5.8034 5.8034 5.8034 90.00 90.00 90.00
Closest atoms and distances in Å follow each position.
Fractional coordinates of all 5 atoms:
Er: 0.5000 0.5000 0.5000  12 Ac 4.10
Cl: 0.0000 0.0000 0.0000  6 Ac 2.90
Ac: 0.0000 0.5000 0.0000  2 Cl 2.90
Ac: 0.0000 0.0000 0.5000  2 Cl 2.90
Ac: 0.5000 0.0000 0.0000  2 Cl 2.90

=====

First-principles (PBE) data for crystalline AcNb3Ge3 at its relaxed geometry, as listed in Alexandria.

Energy of formation from the pure elements = -0.340 eV per atom
Space-group type = No. 11

Lattice parameters (Å, degrees): 4.7583 8.5966 9.5041 126.50 90.00 90.00
Closest atoms and distances in Å follow each position.
Fractional coordinates of all 14 atoms:
Ac: 0.7500 0.3113 0.6733  7 Ge 3.12-3.40, 1 Nb 3.46
Ge: 0.7500 0.9420 0.2861  3 Nb 2.64-2.70
Ge: 0.2500 0.6114 0.9413  2 Nb 2.62-2.65
Nb: 0.2500 0.9878 0.1963  4 Ge 2.64-2.69, 1 Nb 2.66
Nb: 0.2500 0.1673 0.0455  3 Nb 2.66-2.85, 1 Ge 2.70
Nb: 0.7500 0.0122 0.8037  4 Ge 2.64-2.69, 1 Nb 2.66
Ge: 0.7500 0.3886 0.0587  2 Nb 2.62-2.65
Ac: 0.2500 0.6887 0.3267  7 Ge 3.12-3.40, 1 Nb 3.46
Ge: 0.7500 0.6246 0.5666  5 Nb 2.69-2.99, 2 Ge 2.94
Ge: 0.2500 0.3754 0.4334  5 Nb 2.69-2.99, 2 Ge 2.94
Nb: 0.2500 0.7419 0.7533  4 Ge 2.62-2.79, 2 Nb 2.85
Nb: 0.7500 0.8327 0.9545  3 Nb 2.66-2.85, 1 Ge 2.70
Nb: 0.7500 0.2581 0.2467  4 Ge 2.62-2.79, 2 Nb 2.85
Ge: 0.2500 0.0580 0.7139  3 Nb 2.64-2.70

=====

| no. | electronic total energy (eV/cell) | calculated volume (Å³ per atom) |
| --- | --- | --- |
| 1 | -13.66 | 24.271 |
| 2 | -20.94 | 39.092 |
| 3 | -101.10 | 22.323 |